Record 1
The following is a GGA-PBE calculation of crystalline Rb2CdI7 at its relaxed geometry, from the Alexandria database.

```
data_Rb2CdI7
_chemical_formula_sum 'Rb4 Cd2 I14'
_cell_length_a 9.0273
_cell_length_b 9.0273
_cell_length_c 12.2965
_cell_angle_alpha 90.00
_cell_angle_beta 90.00
_cell_angle_gamma 90.00
_space_group_name_H-M_alt 'I 4/m m m'
_space_group_IT_number 139
_space_group_name_Hall '-I 4 2'
loop_
_atom_site_label
_atom_site_fract_x
_atom_site_fract_y
_atom_site_fract_z
Rb1 0.0000 0.5000 0.2500
Cd1 0.0000 0.0000 0.0000
I1 0.0000 0.0000 0.2635
I2 0.0000 0.0000 0.5000
I3 0.2256 0.2256 0.0000
```

## Properties
- total DFT energy (no corrections) (eV per atom) = -2.0218
- magnetization (μB per formula unit) = 0.0
- formation energy without anion corrections (meV/atom) = -652

---

Record 2
The following is a GGA-PBE calculation of crystalline Rb2CdI4 at its relaxed geometry, from the Alexandria database.

```
data_Rb2CdI4
_chemical_formula_sum 'Rb4 Cd2 I8'
_cell_length_a 6.0654
_cell_length_b 6.0654
_cell_length_c 18.1637
_cell_angle_alpha 90.00
_cell_angle_beta 90.00
_cell_angle_gamma 90.00
_space_group_name_H-M_alt 'I 4/m m m'
_space_group_IT_number 139
_space_group_name_Hall '-I 4 2'
loop_
_atom_site_label
_atom_site_fract_x
_atom_site_fract_y
_atom_site_fract_z
Rb1 0.0000 0.0000 0.1348
Cd1 0.0000 0.0000 0.5000
I1 0.0000 0.0000 0.3371
I2 0.0000 0.5000 0.0000
```

## Properties
- total DFT energy (no corrections) (eV per atom) = -2.3601
- ΔE to the lowest computed polymorph (eV/f.u.) = 0.42
- magnetization (μB per formula unit) = 0.0
- formation energy without anion corrections (meV/atom) = -1067

---

Record 3
The following is a GGA-PBE calculation of crystalline Rb3CdI5 at its relaxed geometry, from the Alexandria database.

```
data_Rb3CdI5
_chemical_formula_sum 'Rb12 Cd4 I20'
_cell_length_a 10.0204
_cell_length_b 10.0204
_cell_length_c 17.0656
_cell_angle_alpha 90.00
_cell_angle_beta 90.00
_cell_angle_gamma 90.00
_space_group_name_H-M_alt 'I 4/m c m'
_space_group_IT_number 140
_space_group_name_Hall '-I 4 2c'
loop_
_atom_site_label
_atom_site_fract_x
_atom_site_fract_y
_atom_site_fract_z
Rb1 0.0000 0.0000 0.2500
Rb2 0.1551 0.3449 0.0000
Cd1 0.0000 0.5000 0.2500
I1 0.0000 0.0000 0.0000
I2 0.1546 0.3454 0.3531
```

## Properties
- total DFT energy (no corrections) (eV per atom) = -2.4723
- magnetization (μB per formula unit) = 0.0
- formation energy without anion corrections (meV/atom) = -1187

---

V: 1002.1; 668.2; 1713.5 (Å³ per cell)